Record 1
Material: EuMgHgBi
Method: DFT, PBE
State: relaxed

The value obtained for the formation energy is -0.450 eV/atom. As for the density of states at the Fermi level: 0.822 states/eV per atom. The calculation puts the total energy at -4.46 eV/atom.

The space group is F-43m (No. 216) and the conventional cell measures 7.700, 7.700 and 7.700 Å, with angles of 90.00, 90.00 and 90.00 degrees. The distinct sites, in fractional coordinates, are Eu at (0.000, 0.000, 0.000), Mg at (0.000, 0.000, 0.500), Hg at (0.250, 0.250, 0.250) and Bi at (0.250, 0.250, 0.750).

=====

Record 2
Material: KTaCu2S4
Method: DFT, PBE
State: relaxed

The value obtained for the raw formation energy is -0.692 eV/atom. The calculation puts the total energy at -5.40 eV/atom.

The space group is Fmm2 (No. 42) and the conventional cell measures 8.734, 8.746 and 9.502 Å, with angles of 90.00, 90.00 and 90.00 degrees. The distinct sites, in fractional coordinates, are K at (0.000, 0.000, 0.000), Ta at (0.000, 0.000, 0.501), Cu at (0.250, 0.250, 0.251), S at (0.000, 0.204, 0.348) and S at (0.205, 0.000, 0.653).

=====

Record 3
Material: Pm2NdAgHg4
Method: DFT, PBE
State: relaxed

The value obtained for the formation energy is -0.390 eV/atom. As for the density of states at the Fermi level: 0.936 states/eV per atom. The calculation puts the total energy at -2.68 eV/atom.

The space group is R-3m (No. 166, hexagonal axes) and the conventional cell measures 5.1663, 5.1663 and 27.2021 Å, with angles of 90.00, 90.00 and 120.00 degrees. The distinct sites, in fractional coordinates, are Pm at (0.0000, 0.0000, 0.2399), Nd at (0.0000, 0.0000, 0.0000), Ag at (0.0000, 0.0000, 0.5000), Hg at (0.0000, 0.0000, 0.1253) and Hg at (0.0000, 0.0000, 0.3761).

=====

Record 4
Material: Ce2Nd5Ho5
Method: DFT, PBE
State: relaxed

The value obtained for the formation energy is 0.052 eV/atom. As for the density of states at the Fermi level: 1.844 states/eV per atom. The calculation puts the total energy at -4.83 eV/atom.

The space group is C2/m (No. 12) and the conventional cell measures 15.216, 5.050 and 11.381 Å, with angles of 90.00, 116.60 and 90.00 degrees. The distinct sites, in fractional coordinates, are Ce at (0.170, 0.000, 0.499), Nd at (0.000, 0.000, 0.000), Nd at (0.081, 0.000, 0.747), Nd at (0.250, 0.000, 0.254), Ho at (0.000, 0.500, 0.500), Ho at (0.085, 0.500, 0.254) and Ho at (0.168, 0.500, 0.002).

=====

Record 5
Material: HfAlTcAu
Method: DFT, PBE
State: relaxed

The value obtained for the formation energy is -0.524 eV/atom. As for the excess energy over the best structure of this formula in the dataset: 0.0 meV/atom. As for the density of states at the Fermi level: 0.062 states/eV per atom. The calculation puts the total energy at -7.36 eV/atom.

The space group is P4mm (No. 99) and the conventional cell measures 3.329, 3.329 and 6.097 Å, with angles of 90.00, 90.00 and 90.00 degrees. The distinct sites, in fractional coordinates, are Hf at (0.000, 0.000, 0.000), Al at (0.000, 0.000, 0.463), Tc at (0.500, 0.500, 0.237) and Au at (0.500, 0.500, 0.716).

=====

Record 6
Material: NiIrSe2
Method: DFT, PBE
State: relaxed

The value obtained for the raw formation energy is 0.307 eV/atom. As for the density of states at the Fermi level: 0.612 states/eV per atom. The calculation puts the total energy at -5.10 eV/atom.

The space group is P4/mmm (No. 123) and the conventional cell measures 4.489, 4.489 and 3.055 Å, with angles of 90.00, 90.00 and 90.00 degrees. The distinct sites, in fractional coordinates, are Ni at (0.000, 0.000, 0.000), Ir at (0.500, 0.500, 0.000) and Se at (0.000, 0.500, 0.500).

=====

Record 7
Material: TaBAsPt2
Method: DFT, PBE
State: relaxed

The value obtained for the formation energy is 1.237 eV/atom. As for the density of states at the Fermi level: 0.691 states/eV per atom. The calculation puts the total energy at -5.82 eV/atom.

The space group is P4/mmm (No. 123) and the conventional cell measures 4.913, 4.913 and 4.311 Å, with angles of 90.00, 90.00 and 90.00 degrees. The distinct sites, in fractional coordinates, are Ta at (0.000, 0.000, 0.000), B at (0.000, 0.000, 0.500), As at (0.500, 0.500, 0.500) and Pt at (0.000, 0.500, 0.000).

=====

Record 8
Material: LiZnWI2
Method: DFT, PBE
State: relaxed

The value obtained for the raw formation energy is 0.979 eV/atom. As for the excess energy over the best structure of this formula in the dataset: 0.0 meV/atom. As for the density of states at the Fermi level: 0.964 states/eV per atom. The calculation puts the total energy at -2.87 eV/atom.

The space group is P4/mmm (No. 123) and the conventional cell measures 5.828, 5.828 and 5.097 Å, with angles of 90.00, 90.00 and 90.00 degrees. The distinct sites, in fractional coordinates, are Li at (0.000, 0.000, 0.000), Zn at (0.500, 0.500, 0.500), W at (0.500, 0.500, 0.000) and I at (0.000, 0.500, 0.500).

=====

Record 9
Material: CrTc3
Method: DFT, PBE
State: relaxed

The value obtained for the formation energy is 0.188 eV/atom. As for the density of states at the Fermi level: 1.242 states/eV per atom. The calculation puts the total energy at -9.99 eV/atom.

The space group is Fm-3m (No. 225) and the conventional cell measures 6.078, 6.078 and 6.078 Å, with angles of 90.00, 90.00 and 90.00 degrees. The distinct sites, in fractional coordinates, are Cr at (0.000, 0.000, 0.000), Tc at (0.000, 0.000, 0.500) and Tc at (0.250, 0.250, 0.250).

=====

Record 10
Material: Pr2Sm3Y4
Method: DFT, PBE
State: relaxed

The value obtained for the formation energy is 0.070 eV/atom. As for the excess energy over the best structure of this formula in the dataset: 0.0 meV/atom. As for the density of states at the Fermi level: 1.581 states/eV per atom. The calculation puts the total energy at -5.44 eV/atom.

The space group is C2/m (No. 12) and the conventional cell measures 11.915, 3.608 and 14.203 Å, with angles of 90.00, 94.38 and 90.00 degrees. The distinct sites, in fractional coordinates, are Pr at (0.136, 0.000, 0.434), Sm at (0.000, 0.000, 0.000), Sm at (0.071, 0.500, 0.214), Y at (0.148, 0.000, 0.681) and Y at (0.216, 0.500, 0.893).

=====

Record 11
Material: Zr2TiPb3O9
Method: DFT, PBE
State: relaxed

The value obtained for the raw formation energy is -2.385 eV/atom. As for the excess energy over the best structure of this formula in the dataset: 0.0 meV/atom. As for the density of states at the Fermi level: 0.000 states/eV per atom. The calculation puts the total energy at -7.77 eV/atom.

The space group is Cm (No. 8) and the conventional cell measures 5.814, 17.431 and 4.315 Å, with angles of 90.00, 91.08 and 90.00 degrees. The distinct sites, in fractional coordinates, are Zr at (0.000, 0.166, 0.000), Ti at (0.003, 0.500, 0.017), Pb at (0.467, 0.158, 0.560), Pb at (0.479, 0.500, 0.568), O at (0.014, 0.500, 0.429), O at (0.030, 0.160, 0.467), O at (0.251, 0.421, 0.931), O at (0.273, 0.079, 0.931) and O at (0.279, 0.244, 0.939).

=====

Record 12
Material: Li2PrSm2Ge2
Method: DFT, PBE
State: relaxed

The value obtained for the formation energy is -0.488 eV/atom. As for the density of states at the Fermi level: 0.509 states/eV per atom. The calculation puts the total energy at -4.38 eV/atom.

The space group is R-3m (No. 166, hexagonal axes) and the conventional cell measures 4.5470, 4.5470 and 27.7915 Å, with angles of 90.00, 90.00 and 120.00 degrees. The distinct sites, in fractional coordinates, are Li at (0.0000, 0.0000, 0.0972), Pr at (0.0000, 0.0000, 0.5000), Sm at (0.0000, 0.0000, 0.3723) and Ge at (0.0000, 0.0000, 0.2380).